Material: Te2PdPbO8
Method: DFT, PBE
State: optimized geometry

Formation energy without anion corrections in eV per formula unit: -7.65
Total magnetization in μB/f.u.: 2.029
Crystal system: trigonal

Unit cell a=5.573 b=5.573 c=7.088 alpha=90.00 beta=90.00 gamma=120.00
Site moments in Bohr magnetons follow the coordinates.
Atoms (fractional coordinates):
Te 0.667 0.333 0.308  0.13
Te 0.333 0.667 0.692  0.13
Pd 0.000 0.000 0.500  0.10
Pb 0.000 0.000 0.000  0.02
O 0.333 0.667 0.951  0.02
O 0.283 0.281 0.323  0.21
O 0.719 0.002 0.323  0.21
O 0.667 0.333 0.049  0.02
O 0.281 0.998 0.677  0.21
O 0.717 0.719 0.677  0.21
O 0.002 0.283 0.677  0.21
O 0.998 0.717 0.323  0.21


Material: Ho2Er4TmPu
Method: DFT, PBE
State: optimized geometry

ΔE_f in meV per atom: 64
Total magnetization in μB/f.u.: 6.099
Crystal system: monoclinic

Unit cell a=4.936 b=4.939 c=11.049 alpha=63.39 beta=90.03 gamma=90.01
Site moments in Bohr magnetons follow the coordinates.
Atoms (fractional coordinates):
Ho 0.000 0.000 0.000  0.21
Ho 0.500 0.000 0.500  -0.19
Er 0.000 0.754 0.746  -0.08
Er 0.000 0.246 0.254  -0.08
Er 0.500 0.746 0.254  -0.09
Er 0.500 0.254 0.746  -0.09
Tm 0.500 0.500 0.000  0.12
Pu 0.000 0.500 0.500  -5.53


Material: Y3Er2TmBi6
Method: DFT, PBE
State: optimized geometry

ΔE_f in meV per atom: -850
Total magnetization in μB/f.u.: 0.000
Crystal system: monoclinic

Unit cell a=7.731 b=7.731 c=7.726 alpha=99.59 beta=99.59 gamma=120.00
Atoms (fractional coordinates):
Y 0.167 0.833 0.500
Y 0.833 0.167 0.500
Y 0.500 0.500 0.500
Er 0.334 0.666 0.000
Er 0.666 0.334 0.000
Tm 0.000 0.000 0.000
Bi 0.918 0.585 0.753
Bi 0.750 0.750 0.247
Bi 0.082 0.415 0.247
Bi 0.585 0.918 0.753
Bi 0.250 0.250 0.753
Bi 0.415 0.082 0.247


Material: Be2CrRh
Method: DFT, PBE
State: optimized geometry

Energy above the most stable polymorph in this dataset in meV/atom: 524
ΔE_f in meV per atom: 256
Total magnetization in μB/f.u.: 0.000
Crystal system: tetragonal

Unit cell a=6.028 b=6.028 c=4.918 alpha=52.20 beta=52.20 gamma=90.00
Atoms (fractional coordinates):
Cr 0.500 0.500 0.000
Cr 0.250 0.750 0.500
Rh 0.000 0.000 0.000
Rh 0.750 0.250 0.500
Be 0.627 0.125 0.250
Be 0.123 0.625 0.250
Be 0.375 0.373 0.750
Be 0.875 0.877 0.750


Material: NbPtCO2
Method: DFT, PBE
State: optimized geometry

Formation energy without anion corrections in eV per formula unit: 0.06
Total magnetization in μB/f.u.: 0.937
Crystal system: tetragonal

Unit cell a=3.853 b=3.853 c=4.621 alpha=90.00 beta=90.00 gamma=90.00
Site moments in Bohr magnetons follow the coordinates.
Atoms (fractional coordinates):
C 0.000 0.000 0.500  0.15
Nb 0.000 0.000 0.000  -0.03
O 0.000 0.500 0.000  0.09
O 0.500 0.000 0.000  0.09
Pt 0.500 0.500 0.500  0.40


Material: Pm6Tl4Pb7
Method: DFT, PBE
State: optimized geometry

ΔE_f in meV per atom: -168
Total magnetization in μB/f.u.: 0.000
Crystal system: cubic

Unit cell a=8.876 b=8.876 c=8.876 alpha=109.47 beta=109.47 gamma=109.47
Atoms (fractional coordinates):
Pm 0.706 0.000 0.706
Pm 0.706 0.706 0.000
Pm 0.000 0.294 0.294
Pm 0.294 0.000 0.294
Pm 0.294 0.294 0.000
Pm 0.000 0.706 0.706
Tl 0.500 0.000 0.000
Tl 0.500 0.500 0.500
Tl 0.000 0.500 0.000
Tl 0.000 0.000 0.500
Pb 0.750 0.500 0.250
Pb 0.250 0.750 0.500
Pb 0.500 0.750 0.250
Pb 0.750 0.250 0.500
Pb 0.250 0.500 0.750
Pb 0.500 0.250 0.750
Pb 0.000 0.000 0.000


Material: Pu2MgTl3S6
Method: DFT, PBE
State: optimized geometry

Formation energy without anion corrections in eV per formula unit: -13.15
Total magnetization in μB/f.u.: 9.000
Crystal system: monoclinic

Unit cell a=6.895 b=6.895 c=7.822 alpha=98.44 beta=98.44 gamma=119.97
Site moments in Bohr magnetons follow the coordinates.
Atoms (fractional coordinates):
Pu 0.333 0.667 0.000  -4.79
Pu 0.667 0.333 0.000  -4.79
Mg 0.000 0.000 0.000  0.00
Tl 0.167 0.833 0.500  0.01
Tl 0.833 0.167 0.500  0.01
Tl 0.500 0.500 0.500  0.01
S 0.936 0.605 0.807  0.11
S 0.734 0.734 0.193  0.10
S 0.064 0.395 0.193  0.11
S 0.605 0.936 0.807  0.11
S 0.266 0.266 0.807  0.10
S 0.395 0.064 0.193  0.11


Material: Tb2Nd6DyY
Method: DFT, PBE
State: optimized geometry

ΔE_f in meV per atom: 113
Total magnetization in μB/f.u.: 0.000
Crystal system: monoclinic

Unit cell a=9.703 b=8.997 c=8.997 alpha=118.16 beta=93.86 gamma=93.86
Atoms (fractional coordinates):
Tb 0.455 0.801 0.700
Tb 0.045 0.300 0.199
Tb 0.545 0.199 0.300
Tb 0.955 0.700 0.801
Nd 0.054 0.120 0.761
Nd 0.446 0.239 0.880
Nd 0.946 0.880 0.239
Nd 0.554 0.761 0.120
Nd 0.312 0.987 0.434
Nd 0.188 0.566 0.013
Nd 0.688 0.013 0.566
Nd 0.812 0.434 0.987
Nd 0.118 0.709 0.494
Nd 0.382 0.506 0.291
Nd 0.882 0.291 0.506
Nd 0.618 0.494 0.709
Dy 0.250 0.411 0.589
Dy 0.750 0.589 0.411
Y 0.250 0.974 0.026
Y 0.750 0.026 0.974


Material: Sr2TbAu
Method: DFT, PBE
State: optimized geometry

ΔE_f in meV per atom: -1
Total magnetization in μB/f.u.: 0.699
Crystal system: trigonal

Unit cell a=3.969 b=3.969 c=11.744 alpha=80.27 beta=80.27 gamma=60.00
Site moments in Bohr magnetons follow the coordinates.
Atoms (fractional coordinates):
Tb 0.000 0.000 0.000  0.29
Au 0.500 0.500 0.500  0.00
Sr 0.106 0.106 0.681  0.01
Sr 0.894 0.894 0.319  0.01


Material: LaTm2Th
Method: DFT, PBE
State: optimized geometry

Energy above the most stable polymorph in this dataset in meV/atom: 29
ΔE_f in meV per atom: 40
Total magnetization in μB/f.u.: 0.000
Crystal system: tetragonal

Unit cell a=4.911 b=5.121 c=5.121 alpha=90.00 beta=90.00 gamma=90.00
Atoms (fractional coordinates):
Tm 0.000 0.000 0.500
Tm 0.000 0.500 0.000
Th 0.500 0.000 0.000
La 0.500 0.500 0.500


Material: TbGdCdAg
Method: DFT, PBE
State: optimized geometry

ΔE_f in meV per atom: -303
Total magnetization in μB/f.u.: 7.325
Crystal system: cubic

Unit cell a=5.253 b=5.253 c=5.253 alpha=60.00 beta=60.00 gamma=60.00
Site moments in Bohr magnetons follow the coordinates.
Atoms (fractional coordinates):
Gd 0.000 0.000 0.000  7.09
Tb 0.500 0.500 0.500  0.04
Ag 0.250 0.250 0.250  0.01
Cd 0.750 0.750 0.750  0.00


Material: IrIF2
Method: DFT, PBE
State: optimized geometry

Energy above the most stable polymorph in this dataset in meV/atom: 0
Formation energy without anion corrections in eV per formula unit: -0.69
Total magnetization in μB/f.u.: 0.948
Crystal system: trigonal

Unit cell a=9.293 b=9.293 c=9.293 alpha=21.55 beta=21.55 gamma=21.55
Site moments in Bohr magnetons follow the coordinates.
Atoms (fractional coordinates):
I 0.000 0.000 0.000  0.01
Ir 0.500 0.500 0.500  0.82
F 0.864 0.864 0.864  0.04
F 0.136 0.136 0.136  0.04